# 1
Density functional theory data (PBE-GGA) for a geometry-optimized Zn2Ni6Sn structure.

Unit cell a=3.793 b=6.066 c=6.066 alpha=120.00 beta=90.00 gamma=90.00
Atoms (fractional coordinates):
Ni 0.000 0.254 0.254
Ni 0.000 0.746 0.000
Ni 0.500 0.000 0.440
Ni 0.500 0.560 0.560
Ni 0.000 0.000 0.746
Ni 0.500 0.440 0.000
Zn 0.000 0.667 0.333
Zn 0.000 0.333 0.667
Sn 0.500 0.000 0.000

Calculated values
Energy ... -40.323 eV/cell
Calculated density ... 8267 kg/m³
Formation energy from the elements ... 0.10 eV/atom
M_tot ... 0.00 μB/f.u.

---

# 2
Density functional theory data (PBE-GGA) for a geometry-optimized AsS3Cl3 structure.

Unit cell a=9.905 b=9.905 c=9.905 alpha=53.14 beta=53.14 gamma=53.14
Atoms (fractional coordinates):
Cl 0.002 0.380 0.381
Cl 0.620 0.619 0.998
Cl 0.381 0.002 0.380
Cl 0.380 0.381 0.002
Cl 0.998 0.620 0.619
Cl 0.619 0.998 0.620
S 0.165 0.931 0.165
S 0.069 0.835 0.835
S 0.165 0.165 0.931
S 0.835 0.069 0.835
S 0.835 0.835 0.069
S 0.931 0.165 0.165
As 0.296 0.296 0.296
As 0.704 0.704 0.704

Calculated values
Energy ... -47.816 eV/cell
Calculated density ... 1598 kg/m³
Formation energy from raw total energies ... -0.191 eV per atom
M_tot ... 0.00 μB/f.u.

---

# 3
Density functional theory data (PBE-GGA) for a geometry-optimized Mg2TeAs2 structure.

Unit cell a=3.863 b=3.863 c=7.987 alpha=76.00 beta=76.00 gamma=90.00
Atoms (fractional coordinates):
Mg 0.606 0.606 0.787
Mg 0.394 0.394 0.213
As 0.250 0.750 0.500
As 0.750 0.250 0.500
Te 0.000 0.000 0.000

Calculated values
Energy ... -17.430 eV/cell
Calculated density ... 4833 kg/m³
Formation energy from raw total energies ... -0.360 eV per atom
M_tot ... 0.00 μB/f.u.

---

# 4
Density functional theory data (PBE-GGA) for a geometry-optimized TaMn2Ni structure.

Unit cell a=6.674 b=6.674 c=5.380 alpha=51.67 beta=51.67 gamma=90.00
Atoms (fractional coordinates):
Ta 0.750 0.250 0.500
Ta 0.000 0.000 0.000
Mn 0.375 0.399 0.750
Mn 0.601 0.125 0.250
Mn 0.875 0.851 0.750
Mn 0.149 0.625 0.250
Ni 0.250 0.750 0.500
Ni 0.500 0.500 0.000

Calculated values
Energy ... -68.590 eV/cell
Calculated density ... 10088 kg/m³
Formation energy from the elements ... 0.42 eV/atom
M_tot ... 5.02 μB/f.u.

---

# 5
Density functional theory data (PBE-GGA) for a geometry-optimized Ru4Pb5 structure.

Unit cell a=8.284 b=8.284 c=6.214 alpha=90.00 beta=90.00 gamma=120.00
Atoms (fractional coordinates):
Ru 0.000 0.404 0.250
Ru 0.000 0.000 0.000
Ru 0.596 0.000 0.750
Ru 0.000 0.000 0.500
Ru 0.404 0.000 0.250
Ru 0.000 0.596 0.750
Ru 0.596 0.596 0.250
Ru 0.404 0.404 0.750
Pb 0.728 0.728 0.750
Pb 0.728 0.000 0.250
Pb 0.333 0.667 0.000
Pb 0.667 0.333 0.000
Pb 0.000 0.272 0.750
Pb 0.272 0.272 0.250
Pb 0.000 0.728 0.250
Pb 0.333 0.667 0.500
Pb 0.272 0.000 0.750
Pb 0.667 0.333 0.500

Calculated values
Energy ... -100.294 eV/cell
Calculated density ... 12951 kg/m³
Formation energy from the elements ... 0.61 eV/atom
M_tot ... 0.00 μB/f.u.

---

# 6
Density functional theory data (PBE-GGA) for a geometry-optimized TcAg2SbBr structure.

Unit cell a=5.090 b=4.912 c=5.090 alpha=90.00 beta=90.00 gamma=90.00
Atoms (fractional coordinates):
Br 0.000 0.000 0.000
Ag 0.000 0.000 0.500
Ag 0.500 0.000 0.000
Tc 0.000 0.500 0.000
Sb 0.500 0.500 0.500

Calculated values
Energy ... -16.256 eV/cell
Calculated density ... 6724 kg/m³
Formation energy from raw total energies ... 1.122 eV per atom
M_tot ... 3.00 μB/f.u.

---

# 7
Density functional theory data (PBE-GGA) for a geometry-optimized FeCuTeAsOs structure.

Unit cell a=6.742 b=3.023 c=9.553 alpha=90.00 beta=107.75 gamma=90.00
Atoms (fractional coordinates):
Os 0.420 0.000 0.040
Os 0.420 0.500 0.540
As 0.193 0.500 0.819
As 0.193 0.000 0.319
Fe 0.447 0.000 0.763
Fe 0.447 0.500 0.263
Cu 0.103 0.000 0.565
Cu 0.103 0.500 0.065
Te 0.701 0.000 0.463
Te 0.701 0.500 0.963

Calculated values
Energy ... -59.975 eV/cell
Calculated density ... 9172 kg/m³
Formation energy from raw total energies ... 0.318 eV per atom
M_tot ... 1.39 μB/f.u.

---

# 8
Density functional theory data (PBE-GGA) for a geometry-optimized ZrCrCdCu2 structure.

Unit cell a=4.926 b=4.686 c=4.926 alpha=90.00 beta=90.00 gamma=90.00
Atoms (fractional coordinates):
Cu 0.000 0.000 0.500
Cu 0.500 0.000 0.000
Cd 0.500 0.500 0.500
Cr 0.000 0.500 0.000
Zr 0.000 0.000 0.000

Calculated values
Energy ... -20.861 eV/cell
Calculated density ... 5590 kg/m³
Formation energy from the elements ... 1.28 eV/atom
M_tot ... 2.62 μB/f.u.

---

# 9
Density functional theory data (PBE-GGA) for a geometry-optimized SrCuSe4O12 structure.

Unit cell a=6.416 b=6.416 c=7.698 alpha=90.00 beta=90.00 gamma=106.13
Atoms (fractional coordinates):
O 0.302 0.181 0.704
O 0.488 0.984 0.000
O 0.042 0.466 0.500
O 0.269 0.731 0.236
O 0.765 0.235 0.740
O 0.269 0.731 0.764
O 0.819 0.698 0.704
O 0.534 0.958 0.500
O 0.819 0.698 0.296
O 0.302 0.181 0.296
O 0.765 0.235 0.260
O 0.016 0.512 0.000
Se 0.958 0.520 0.730
Se 0.958 0.520 0.270
Se 0.480 0.042 0.270
Se 0.480 0.042 0.730
Sr 0.965 0.035 0.500
Cu 0.265 0.735 0.000

Calculated values
Energy ... -92.915 eV/cell
Calculated density ... 3594 kg/m³
Formation energy from raw total energies ... -0.761 eV per atom
M_tot ... 0.00 μB/f.u.

---

# 10
Density functional theory data (PBE-GGA) for a geometry-optimized RuRh2Pb structure.

Unit cell a=4.556 b=2.912 c=4.935 alpha=90.00 beta=90.00 gamma=90.00
Atoms (fractional coordinates):
Pb 0.500 0.625 0.793
Ru 0.000 0.625 0.434
Rh 0.500 0.125 0.298
Rh 0.000 0.125 0.975

Calculated values
Energy ... -26.590 eV/cell
Calculated density ... 13039 kg/m³
Formation energy from the elements ... 0.27 eV/atom
M_tot ... 0.00 μB/f.u.

---

# 11
Density functional theory data (PBE-GGA) for a geometry-optimized SrBeTe2I structure.

Unit cell a=5.064 b=5.064 c=5.930 alpha=90.00 beta=90.00 gamma=90.00
Atoms (fractional coordinates):
I 0.000 0.000 0.500
Sr 0.500 0.500 0.500
Te 0.500 0.000 0.000
Te 0.000 0.500 0.000
Be 0.000 0.000 0.000

Calculated values
Energy ... -15.881 eV/cell
Calculated density ... 5228 kg/m³
Formation energy from raw total energies ... -0.528 eV per atom
M_tot ... 0.00 μB/f.u.

---

# 12
Density functional theory data (PBE-GGA) for a geometry-optimized Ba2YBeI structure.

Unit cell a=6.626 b=4.848 c=6.626 alpha=90.00 beta=90.00 gamma=90.00
Atoms (fractional coordinates):
Y 0.500 0.500 0.500
Be 0.000 0.500 0.000
Ba 0.000 0.000 0.500
Ba 0.500 0.000 0.000
I 0.000 0.000 0.000

Calculated values
Energy ... -13.417 eV/cell
Calculated density ... 3896 kg/m³
Formation energy from raw total energies ... 0.434 eV per atom
M_tot ... 0.00 μB/f.u.

---

# 13
Density functional theory data (PBE-GGA) for a geometry-optimized NdAgPd6 structure.

Unit cell a=4.126 b=5.790 c=5.790 alpha=90.00 beta=90.00 gamma=90.00
Atoms (fractional coordinates):
Nd 0.500 0.000 0.000
Pd 0.000 0.258 0.258
Pd 0.500 0.000 0.500
Pd 0.000 0.742 0.258
Pd 0.000 0.258 0.742
Pd 0.500 0.500 0.000
Pd 0.000 0.742 0.742
Ag 0.500 0.500 0.500

Calculated values
Energy ... -41.688 eV/cell
Calculated density ... 10691 kg/m³
Formation energy from the elements ... -0.36 eV/atom
M_tot ... 0.00 μB/f.u.

---

# 14
Density functional theory data (PBE-GGA) for a geometry-optimized Sm2CdH structure.

Unit cell a=3.553 b=3.553 c=9.487 alpha=79.21 beta=79.21 gamma=60.00
Atoms (fractional coordinates):
Cd 0.000 0.000 0.000
H 0.500 0.500 0.500
Sm 0.884 0.884 0.349
Sm 0.116 0.116 0.651

Calculated values
Energy ... -13.740 eV/cell
Calculated density ... 6792 kg/m³
M_tot ... 0.00 μB/f.u.

---

# 15
Density functional theory data (PBE-GGA) for a geometry-optimized Y2InAu structure.

Unit cell a=4.946 b=4.946 c=6.519 alpha=75.77 beta=75.77 gamma=46.01
Atoms (fractional coordinates):
In 0.250 0.250 0.250
Y 0.490 0.490 0.518
Y 0.010 0.010 0.982
Au 0.750 0.750 0.750

Calculated values
Energy ... -20.832 eV/cell
Calculated density ... 7354 kg/m³
Formation energy from the elements ... -0.47 eV/atom
M_tot ... 0.00 μB/f.u.

---

# 16
Density functional theory data (PBE-GGA) for a geometry-optimized Ce3SmOs3 structure.

Unit cell a=8.810 b=8.810 c=7.297 alpha=52.86 beta=52.86 gamma=60.00
Atoms (fractional coordinates):
Ce 0.874 0.629 0.316
Ce 0.126 0.371 0.684
Ce 0.181 0.874 0.316
Ce 0.819 0.126 0.684
Ce 0.629 0.181 0.316
Ce 0.371 0.819 0.684
Sm 0.330 0.330 0.009
Sm 0.670 0.670 0.991
Os 0.946 0.294 0.196
Os 0.563 0.946 0.196
Os 0.294 0.563 0.196
Os 0.437 0.054 0.804
Os 0.706 0.437 0.804
Os 0.054 0.706 0.804

Calculated values
Energy ... -113.704 eV/cell
Calculated density ... 10778 kg/m³
Formation energy from the elements ... -0.09 eV/atom
M_tot ... 0.00 μB/f.u.